This record from Alexandria via LeMat-Bulk describes an optimized crystal structure of InTcPb2. The functional is PBEsol.

The structure in POSCAR format:
```
InTcPb2
1.0
-3.3940 3.7096 0.3362
-3.9305 -0.4563 3.1202
-0.2472 2.8185 4.1699
In Tc Pb
1 1 2
Direct
0.5000 0.5000 0.5000
0.7500 0.7500 0.7500
0.0000 0.0000 0.0000
0.2500 0.2500 0.2500
```

calculated volume = 90.48 Å³ per cell
formation energy from the elements = 72.3 kJ per mole of atoms
magnetization = 0.74 Bohr magnetons per cell